1.
Below is an optimized crystal structure of Ga2CoSb, with properties calculated at the PBE level.

Results
SG ... F-43m
E ... -4.04 eV per atom
Calculated volume ... 70 Å³/cell

Unit cell a=4.6196 b=4.6196 c=4.6196 alpha=60.00 beta=60.00 gamma=60.00
Closest atoms and distances in Å follow each position.
Fractional coordinates of all 4 atoms:
Ga  0.0000  0.0000  0.0000  4 Co 2.83, 4 Ga 2.83
Ga  0.2500  0.2500  0.2500  4 Sb 2.83, 4 Ga 2.83
Co  0.7500  0.7500  0.7500  4 Sb 2.83, 4 Ga 2.83
Sb  0.5000  0.5000  0.5000  4 Co 2.83, 4 Ga 2.83


2.
Below is an optimized crystal structure of AcBePd, with properties calculated at the PBE level.

Results
SG ... F-43m
Calculated volume ... 71 Å³/cell
Energy relative to the lowest polymorph listed for this composition ... 0.061 eV per atom

Unit cell a=4.6484 b=4.6484 c=4.6484 alpha=60.00 beta=60.00 gamma=60.00
Closest atoms and distances in Å follow each position.
Fractional coordinates of all 3 atoms:
Ac  0.0000  0.0000  0.0000  4 Be 2.85
Be  0.2500  0.2500  0.2500  4 Pd 2.85, 4 Ac 2.85
Pd  0.5000  0.5000  0.5000  4 Be 2.85


3.
Below is an optimized crystal structure of Lu2Nb4Tl3C3, with properties calculated at the PBE level.

Results
SG ... C2/c
E ... -7.40 eV per atom
Calculated volume ... 425 Å³/cell

Unit cell a=5.7799 b=5.7799 c=15.0693 alpha=101.24 beta=101.24 gamma=60.02
Closest atoms and distances in Å follow each position.
Fractional coordinates of all 24 atoms:
Lu  0.0332  0.8750  0.5943  3 C 2.39-2.42
Lu  0.1250  0.9668  0.9057  3 C 2.39-2.42
Lu  0.8750  0.0332  0.0943  3 C 2.39-2.42
Lu  0.9668  0.1250  0.4057  3 C 2.39-2.42
Nb  0.1924  0.3485  0.0743  3 C 2.19-2.22
Nb  0.2982  0.4845  0.4257  3 C 2.19-2.22
Nb  0.3485  0.1924  0.5743  3 C 2.19-2.22
Nb  0.4845  0.2982  0.9257  3 C 2.19-2.22
Nb  0.5155  0.7018  0.0743  3 C 2.19-2.22
Nb  0.6515  0.8076  0.4257  3 C 2.19-2.22
Nb  0.7018  0.5155  0.5743  3 C 2.19-2.22
Nb  0.8076  0.6515  0.9257  3 C 2.19-2.22
Tl  0.0837  0.2882  0.7531  2 Lu 3.12-3.13, 4 Nb 3.14-3.18, 4 Tl 3.17
Tl  0.2882  0.0837  0.2531  2 Lu 3.12-3.13, 4 Nb 3.14-3.18, 4 Tl 3.17
Tl  0.4517  0.5483  0.7500  2 Lu 3.14, 4 Tl 3.17, 4 Nb 3.18-3.19
Tl  0.5483  0.4517  0.2500  2 Lu 3.14, 4 Tl 3.17, 4 Nb 3.18-3.19
Tl  0.7118  0.9163  0.7469  2 Lu 3.12-3.13, 4 Nb 3.14-3.18, 4 Tl 3.17
Tl  0.9163  0.7118  0.2469  2 Lu 3.12-3.13, 4 Nb 3.14-3.18, 4 Tl 3.17
C  0.0000  0.5000  0.5000  4 Nb 2.19, 2 Lu 2.42
C  0.1724  0.6545  0.0000  4 Nb 2.19-2.22, 2 Lu 2.39-2.40
C  0.3455  0.8276  0.5000  4 Nb 2.19-2.22, 2 Lu 2.39-2.40
C  0.5000  0.0000  0.0000  4 Nb 2.19, 2 Lu 2.42
C  0.6545  0.1724  0.5000  4 Nb 2.19-2.22, 2 Lu 2.39-2.40
C  0.8276  0.3455  0.0000  4 Nb 2.19-2.22, 2 Lu 2.39-2.40


4.
Below is an optimized crystal structure of Li3SmSb2, with properties calculated at the PBE level.

Results
SG ... P-3m1
E ... -3.95 eV per atom
Calculated volume ... 129 Å³/cell

Unit cell a=4.5502 b=4.5502 c=7.2068 alpha=90.00 beta=90.00 gamma=120.00
Closest atoms and distances in Å follow each position.
Fractional coordinates of all 6 atoms:
Li  0.0000  0.0000  0.0000  6 Li 2.83, 6 Sb 3.17
Li  0.3333  0.6667  0.1472  4 Sb 2.72-2.84, 3 Li 2.83
Li  0.6667  0.3333  0.8528  4 Sb 2.72-2.84, 3 Li 2.83
Sm  0.0000  0.0000  0.5000  6 Sb 3.20
Sb  0.3333  0.6667  0.7535  4 Li 2.72-2.84
Sb  0.6667  0.3333  0.2465  4 Li 2.72-2.84


5.
Below is an optimized crystal structure of ScTlAgAu, with properties calculated at the PBE level.

Results
SG ... F-43m
Calculated volume ... 81 Å³/cell
Energy relative to the lowest polymorph listed for this composition ... 0.004 eV per atom

Unit cell a=4.8488 b=4.8488 c=4.8488 alpha=60.00 beta=60.00 gamma=60.00
Closest atoms and distances in Å follow each position.
Fractional coordinates of all 4 atoms:
Sc  0.0000  0.0000  0.0000  4 Au 2.97, 4 Tl 2.97
Tl  0.2500  0.2500  0.2500  4 Sc 2.97, 4 Ag 2.97
Ag  0.5000  0.5000  0.5000  4 Au 2.97, 4 Tl 2.97
Au  0.7500  0.7500  0.7500  4 Sc 2.97, 4 Ag 2.97


6.
Below is an optimized crystal structure of NaPtO3, with properties calculated at the PBE level.

Results
SG ... R-3
E ... -5.27 eV per atom
Calculated volume ... 125 Å³/cell

Unit cell a=5.9750 b=5.9750 c=5.9750 alpha=52.83 beta=52.83 gamma=52.83
Closest atoms and distances in Å follow each position.
Fractional coordinates of all 10 atoms:
Na  0.1401  0.1401  0.1401  6 O 2.26-2.48
Na  0.8599  0.8599  0.8599  6 O 2.26-2.48
Pt  0.3364  0.3364  0.3364  6 O 2.00
Pt  0.6636  0.6636  0.6636  6 O 2.00
O  0.0635  0.6987  0.4526  2 Pt 2.00
O  0.3013  0.5474  0.9365  2 Pt 2.00
O  0.4526  0.0635  0.6987  2 Pt 2.00
O  0.5474  0.9365  0.3013  2 Pt 2.00
O  0.6987  0.4526  0.0635  2 Pt 2.00
O  0.9365  0.3013  0.5474  2 Pt 2.00